1.
Ag2PbI | GGA-PBE | optimized geometry

- Space group: No. 6
- E_tot: -10.91 eV/f.u.
- Crystal system: monoclinic
- Fermi-level density of states: 1.3 states/eV/f.u.
- Total magnetic moment: 0.00 μB per cell
- Energy relative to the elements, uncorrected: 0.012 eV per atom

Lattice parameters (Å, degrees): 6.7259 4.1205 8.0680 90.00 102.05 90.00
Closest atoms and distances in Å follow each position.
Fractional coordinates of all 8 atoms:
1 Ag 0.0000 0.0000 0.0000  4 Ag 2.89-2.95, 2 Pb 3.12
2 Ag 0.1024 0.5000 0.7696  3 Ag 2.84-2.95, 3 I 2.90-3.05
3 Ag 0.2971 0.5000 0.1172  5 Ag 2.84-2.89, 2 Pb 3.00
4 Ag 0.5015 0.0000 0.3371  2 Ag 2.87, 3 I 2.97-3.07
5 Pb 0.4857 0.0000 0.9274  5 Ag 3.00-3.34
6 Pb 0.8130 0.5000 0.2143  5 Ag 3.12-3.39
7 I 0.1441 0.0000 0.4997  3 Ag 2.97-3.05
8 I 0.6729 0.5000 0.6123  3 Ag 2.90-3.07

2.
Ag2PbI | GGA-PBE | optimized geometry

- Space group: No. 1
- E_tot: -10.93 eV/f.u.
- Crystal system: triclinic
- Fermi-level density of states: 1.1 states/eV/f.u.
- Total magnetic moment: 0.00 μB per cell
- Energy relative to the elements, uncorrected: 0.008 eV per atom

Lattice parameters (Å, degrees): 5.7701 5.8356 7.5402 89.37 67.60 89.84
Closest atoms and distances in Å follow each position.
Fractional coordinates of all 8 atoms:
1 Ag 0.0000 0.0000 0.0000  4 Ag 2.85-2.92, 2 I 2.95-3.03, 2 Pb 3.08-3.11
2 Ag 0.0847 0.8777 0.3397  4 Ag 2.87-3.19, 1 I 2.87, 1 Pb 2.91
3 Ag 0.5058 0.9995 0.9991  4 Ag 2.85-2.92, 2 I 2.95-3.02, 2 Pb 3.08-3.12
4 Ag 0.6296 0.6764 0.2484  4 Ag 2.92-3.19, 2 Pb 3.01-3.03
5 Pb 0.1694 0.4267 0.1645  3 Ag 2.91-3.12, 1 I 3.20
6 Pb 0.5719 0.1769 0.3602  5 Ag 3.01-3.37
7 I 0.3761 0.6760 0.7529  2 Ag 2.95, 1 Pb 3.20
8 I 0.9259 0.1949 0.6518  3 Ag 2.87-3.03